Density functional theory data (GGA-PBE) for YThPa after structural relaxation.

a b c (Å): 7.425 7.425 7.425
angles (deg): 90.00 90.00 90.00
Space group F-43m (No. 216)
One atom of each set of equivalent atoms:
Y1 0.000 0.000 0.000 [4 per cell]
Th1 0.000 0.000 0.500 [4 per cell]
Pa1 0.250 0.250 0.750 [4 per cell]

DFT formation energy	1.0248	eV per atom
calculated density	8.955	Mg/m³
polymorph energy (0 for the lowest one)	0	meV per atom
VASP energy	-0.24867	hartree per atom
V	409.4	Å³/cell

Density functional theory data (GGA-PBE) for SiBiIr after structural relaxation.

a b c (Å): 6.299 6.299 6.299
angles (deg): 90.00 90.00 90.00
Space group F-43m (No. 216)
One atom of each set of equivalent atoms:
Si1 0.000 0.000 0.000 [4 per cell]
Bi1 0.000 0.000 0.500 [4 per cell]
Ir1 0.250 0.250 0.750 [4 per cell]

calculated density	11.407	Mg/m³
polymorph energy (0 for the lowest one)	0	meV per atom
VASP energy	-0.22176	hartree per atom
V	250.0	Å³/cell

Density functional theory data (GGA-PBE) for Nd2PbS3 after structural relaxation.

a b c (Å): 4.1057 4.1057 10.2666
angles (deg): 90.00 90.00 120.00
Space group P-3m1 (No. 164)
One atom of each set of equivalent atoms:
Nd1 0.3333 0.6667 0.1492 [2 per cell]
Pb1 0.0000 0.0000 0.5000 [1 per cell]
S1 0.0000 0.0000 0.0000 [1 per cell]
S2 0.3333 0.6667 0.6762 [2 per cell]

calculated density	6.558	Mg/m³
VASP energy	-0.21159	hartree per atom
V	149.9	Å³/cell

Density functional theory data (GGA-PBE) for ZrBeTcAs after structural relaxation.

a b c (Å): 6.234 6.234 6.234
angles (deg): 90.00 90.00 90.00
Space group F-43m (No. 216)
One atom of each set of equivalent atoms:
Zr1 0.000 0.000 0.000 [4 per cell]
Be1 0.250 0.250 0.250 [4 per cell]
Tc1 0.250 0.250 0.750 [4 per cell]
As1 0.000 0.000 0.500 [4 per cell]

calculated density	7.488	Mg/m³
polymorph energy (0 for the lowest one)	169	meV per atom
VASP energy	-0.25126	hartree per atom
V	242.3	Å³/cell